A relaxed structure of BeCrAg2F, computed with PBE+U.

Symmetry: P4/mmm, No. 123
Raw total energy: -0.130 Ha/atom

The structure in CIF format:
```
data_BeCrAg2F
_cell_length_a 4.3498
_cell_length_b 4.7537
_cell_length_c 4.3498
_cell_angle_alpha 90.00
_cell_angle_beta 90.00
_cell_angle_gamma 90.00
_symmetry_space_group_name_H-M 'P 1'
_symmetry_Int_Tables_number 1
_symmetry_space_group_name_Hall 'P 1'
loop_
_atom_site_label
_atom_site_type_symbol
_atom_site_fract_x
_atom_site_fract_y
_atom_site_fract_z
_atom_site_occupancy
Ag1 Ag 0.5000 0.0000 0.0000 1
Cr1 Cr 0.0000 0.5000 0.0000 1
Be1 Be 0.0000 0.0000 0.0000 1
F1 F 0.5000 0.5000 0.5000 1
Ag2 Ag 0.0000 0.0000 0.5000 1
```


A relaxed structure of BeCrAgF6, computed with PBE+U.

Symmetry: P1, No. 1
Raw total energy: -0.193 Ha/atom

The structure in CIF format:
```
data_BeCrAgF6
_cell_length_a 4.9635
_cell_length_b 4.9635
_cell_length_c 5.4217
_cell_angle_alpha 89.88
_cell_angle_beta 89.44
_cell_angle_gamma 60.00
_symmetry_space_group_name_H-M 'P 1'
_symmetry_Int_Tables_number 1
_symmetry_space_group_name_Hall 'P 1'
loop_
_atom_site_label
_atom_site_type_symbol
_atom_site_fract_x
_atom_site_fract_y
_atom_site_fract_z
_atom_site_occupancy
Ag1 Ag 0.9998 0.0008 0.0000 1
Cr1 Cr 0.6667 0.6663 0.5000 1
F1 F 0.6145 0.3589 0.6864 1
Be1 Be 0.3330 0.3345 0.5000 1
F2 F 0.0223 0.6177 0.6865 1
F3 F 0.0272 0.3573 0.3136 1
F4 F 0.3607 0.6160 0.3135 1
F5 F 0.6198 0.0235 0.3135 1
F6 F 0.3558 0.0251 0.6864 1
```


Number 1: size of the total moment 4.667 μB per cell. Number 2: size of the total moment 2.918 μB per cell.